12
Lattice="3.750 0.000 0.000 0.000 7.734 0.293 -1.875 -2.211 8.031" Properties=species:S:1:pos:R:3 comment="Sc6PdSe3S2, optimized geometry, DFT PBE" vol_a3_per_cell=235.3 n_ef_per_ev_cell=5.78 raw_formation_energy_ev_per_atom=-1.539 pbc="T T T"
Sc 1.875 3.652 2.937
Sc 0.000 5.473 5.597
Sc 0.000 1.881 0.155
Sc 1.875 3.642 8.168
Sc 1.875 0.050 2.727
Sc 0.000 1.871 5.387
Se 0.000 5.707 2.911
Se 1.875 3.867 0.146
Se 1.875 -0.184 5.412
Pd 1.875 0.000 0.000
S 0.000 1.859 2.793
S 1.875 3.664 5.531